Record 1
# GGA-PBE Y8Hg, optimized geometry
data_Y8Hg
_space_group_name_H-M_alt 'I 4/m m m'
_space_group_IT_number 139
_space_group_name_Hall '-I 4 2'
_cell_length_a 10.603
_cell_length_b 10.603
_cell_length_c 4.905
_cell_angle_alpha 90.00
_cell_angle_beta 90.00
_cell_angle_gamma 90.00
loop_
_atom_site_label
_atom_site_type_symbol
_atom_site_fract_x
_atom_site_fract_y
_atom_site_fract_z
Y1 Y 0.000 0.333 0.000
Y2 Y 0.162 0.162 0.500
Hg1 Hg 0.000 0.000 0.000
# DOS at the Fermi energy: 1.718 states/eV per atom
# spin magnetization: 0.00 μB per formula unit
# total energy: -5.81 eV/atom



Record 2
# GGA-PBE TcIr2Rh, optimized geometry
data_TcIr2Rh
_space_group_name_H-M_alt 'C m m m'
_space_group_IT_number 65
_space_group_name_Hall '-C 2 2'
_cell_length_a 5.465
_cell_length_b 7.735
_cell_length_c 2.723
_cell_angle_alpha 90.00
_cell_angle_beta 90.00
_cell_angle_gamma 90.00
loop_
_atom_site_label
_atom_site_type_symbol
_atom_site_fract_x
_atom_site_fract_y
_atom_site_fract_z
Tc1 Tc 0.000 0.000 0.000
Ir1 Ir 0.250 0.250 0.500
Rh1 Rh 0.000 0.500 0.000
# DOS at the Fermi energy: 0.894 states/eV per atom
# energy above the most stable polymorph in this dataset: 25 meV per atom
# spin magnetization: 0.00 μB per formula unit
# total energy: -8.96 eV/atom



Record 3
# GGA-PBE YRuS3, optimized geometry
data_YRuS3
_space_group_name_H-M_alt 'P m -3 m'
_space_group_IT_number 221
_space_group_name_Hall '-P 4 2 3'
_cell_length_a 5.165
_cell_length_b 5.165
_cell_length_c 5.165
_cell_angle_alpha 90.00
_cell_angle_beta 90.00
_cell_angle_gamma 90.00
loop_
_atom_site_label
_atom_site_type_symbol
_atom_site_fract_x
_atom_site_fract_y
_atom_site_fract_z
Y1 Y 0.000 0.000 0.000
Ru1 Ru 0.500 0.500 0.500
S1 S 0.000 0.000 0.500
# DOS at the Fermi energy: 1.844 states/eV per atom
# energy above the most stable polymorph in this dataset: 941 meV per atom
# spin magnetization: 3.93 μB per formula unit
# formation energy (no corrections): 405 meV per atom
# total energy: -5.22 eV/atom



Record 4
# GGA-PBE Li2CrSnTe, optimized geometry
data_Li2CrSnTe
_space_group_name_H-M_alt 'P 4/m m m'
_space_group_IT_number 123
_space_group_name_Hall '-P 4 2'
_cell_length_a 5.007
_cell_length_b 5.007
_cell_length_c 5.200
_cell_angle_alpha 90.00
_cell_angle_beta 90.00
_cell_angle_gamma 90.00
loop_
_atom_site_label
_atom_site_type_symbol
_atom_site_fract_x
_atom_site_fract_y
_atom_site_fract_z
Li1 Li 0.000 0.500 0.000
Cr1 Cr 0.000 0.000 0.500
Sn1 Sn 0.500 0.500 0.500
Te1 Te 0.000 0.000 0.000
# DOS at the Fermi energy: 0.880 states/eV per atom
# spin magnetization: 3.23 μB per formula unit
# formation energy (no corrections): 114 meV per atom
# total energy: -4.01 eV/atom



Record 5
# GGA-PBE PrAl4Tl, optimized geometry
data_PrAl4Tl
_space_group_name_H-M_alt 'F -4 3 m'
_space_group_IT_number 216
_space_group_name_Hall 'F -4 2 3'
_cell_length_a 8.069
_cell_length_b 8.069
_cell_length_c 8.069
_cell_angle_alpha 90.00
_cell_angle_beta 90.00
_cell_angle_gamma 90.00
loop_
_atom_site_label
_atom_site_type_symbol
_atom_site_fract_x
_atom_site_fract_y
_atom_site_fract_z
Pr1 Pr 0.000 0.000 0.000
Al1 Al 0.125 0.125 0.625
Tl1 Tl 0.250 0.250 0.250
# DOS at the Fermi energy: 0.905 states/eV per atom
# spin magnetization: 0.00 μB per formula unit
# total energy: -3.81 eV/atom



Record 6
# GGA-PBE CuRe2Ir, optimized geometry
data_CuRe2Ir
_space_group_name_H-M_alt 'P m m m'
_space_group_IT_number 47
_cell_length_a 2.713
_cell_length_b 3.937
_cell_length_c 5.311
_cell_angle_alpha 90.00
_cell_angle_beta 90.00
_cell_angle_gamma 90.00
loop_
_space_group_symop_operation_xyz
'x,y,z'
'-x,-y,-z'
'-x,-y,z'
'x,y,-z'
'x,-y,-z'
'-x,y,z'
'-x,y,-z'
'x,-y,z'
loop_
_atom_site_label
_atom_site_type_symbol
_atom_site_fract_x
_atom_site_fract_y
_atom_site_fract_z
Cu1 Cu 0.000 0.000 0.000
Re1 Re 0.500 0.500 0.232
Ir1 Ir 0.000 0.000 0.500
# DOS at the Fermi energy: 0.679 states/eV per atom
# energy above the most stable polymorph in this dataset: 15 meV per atom
# spin magnetization: 0.00 μB per formula unit
# total energy: -9.36 eV/atom



Record 7
# GGA-PBE RbPdSeBr2, optimized geometry
data_RbPdSeBr2
_space_group_name_H-M_alt 'P 4/m m m'
_space_group_IT_number 123
_space_group_name_Hall '-P 4 2'
_cell_length_a 6.391
_cell_length_b 6.391
_cell_length_c 6.381
_cell_angle_alpha 90.00
_cell_angle_beta 90.00
_cell_angle_gamma 90.00
loop_
_atom_site_label
_atom_site_type_symbol
_atom_site_fract_x
_atom_site_fract_y
_atom_site_fract_z
Rb1 Rb 0.000 0.000 0.000
Pd1 Pd 0.500 0.500 0.500
Se1 Se 0.000 0.000 0.500
Br1 Br 0.000 0.500 0.000
# DOS at the Fermi energy: 2.997 states/eV per atom
# energy above the most stable polymorph in this dataset: 1242 meV per atom
# spin magnetization: 3.07 μB per formula unit
# formation energy (no corrections): 610 meV per atom
# total energy: -1.99 eV/atom



Record 8
# GGA-PBE Pa2Co3P4Ru, optimized geometry
data_Pa2Co3P4Ru
_space_group_name_H-M_alt 'P -4 m 2'
_space_group_IT_number 115
_cell_length_a 4.015
_cell_length_b 4.015
_cell_length_c 8.995
_cell_angle_alpha 90.00
_cell_angle_beta 90.00
_cell_angle_gamma 90.00
loop_
_space_group_symop_operation_xyz
'x,y,z'
'y,-x,-z'
'-x,-y,z'
'-y,x,-z'
'-x,y,z'
'-y,-x,-z'
'x,-y,z'
'y,x,-z'
loop_
_atom_site_label
_atom_site_type_symbol
_atom_site_fract_x
_atom_site_fract_y
_atom_site_fract_z
Pa1 Pa 0.000 0.500 0.244
Co1 Co 0.000 0.500 0.891
Co2 Co 0.500 0.500 0.500
P1 P 0.000 0.000 0.000
P2 P 0.000 0.500 0.641
P3 P 0.500 0.500 0.000
Ru1 Ru 0.000 0.000 0.500
# DOS at the Fermi energy: 0.673 states/eV per atom
# spin magnetization: 0.97 μB per formula unit
# total energy: -8.12 eV/atom



Record 9
# GGA-PBE VPCS2, optimized geometry
data_VPCS2
_space_group_name_H-M_alt 'P 4/m m m'
_space_group_IT_number 123
_space_group_name_Hall '-P 4 2'
_cell_length_a 4.034
_cell_length_b 4.034
_cell_length_c 3.973
_cell_angle_alpha 90.00
_cell_angle_beta 90.00
_cell_angle_gamma 90.00
loop_
_atom_site_label
_atom_site_type_symbol
_atom_site_fract_x
_atom_site_fract_y
_atom_site_fract_z
V1 V 0.000 0.000 0.000
P1 P 0.500 0.500 0.000
C1 C 0.500 0.500 0.500
S1 S 0.000 0.500 0.500
# DOS at the Fermi energy: 1.073 states/eV per atom
# energy above the most stable polymorph in this dataset: 0 meV per atom
# spin magnetization: 0.03 μB per formula unit
# formation energy (no corrections): 1075 meV per atom
# total energy: -5.33 eV/atom



Record 10
# GGA-PBE ReTcPt2, optimized geometry
data_ReTcPt2
_space_group_name_H-M_alt 'I 4/m m m'
_space_group_IT_number 139
_space_group_name_Hall '-I 4 2'
_cell_length_a 3.852
_cell_length_b 3.852
_cell_length_c 8.099
_cell_angle_alpha 90.00
_cell_angle_beta 90.00
_cell_angle_gamma 90.00
loop_
_atom_site_label
_atom_site_type_symbol
_atom_site_fract_x
_atom_site_fract_y
_atom_site_fract_z
Re1 Re 0.000 0.000 0.000
Tc1 Tc 0.000 0.000 0.500
Pt1 Pt 0.000 0.500 0.250
# DOS at the Fermi energy: 1.128 states/eV per atom
# energy above the most stable polymorph in this dataset: 100 meV per atom
# spin magnetization: 0.00 μB per formula unit
# total energy: -8.76 eV/atom



Record 11
# GGA-PBE Mn2AgPb, optimized geometry
data_Mn2AgPb
_space_group_name_H-M_alt 'I -4 m 2'
_space_group_IT_number 119
_space_group_name_Hall 'I -4 -2'
_cell_length_a 4.060
_cell_length_b 4.060
_cell_length_c 8.980
_cell_angle_alpha 90.00
_cell_angle_beta 90.00
_cell_angle_gamma 90.00
loop_
_atom_site_label
_atom_site_type_symbol
_atom_site_fract_x
_atom_site_fract_y
_atom_site_fract_z
Mn1 Mn 0.000 0.000 0.000
Mn2 Mn 0.000 0.500 0.250
Ag1 Ag 0.000 0.000 0.500
Pb1 Pb 0.000 0.500 0.750
# DOS at the Fermi energy: 0.800 states/eV per atom
# spin magnetization: 7.39 μB per formula unit
# total energy: -5.79 eV/atom



Record 12
# GGA-PBE Ho3Er4Sc3, optimized geometry
data_Ho3Er4Sc3
_space_group_name_H-M_alt 'A m m 2'
_space_group_IT_number 38
_cell_length_a 3.593
_cell_length_b 12.669
_cell_length_c 12.775
_cell_angle_alpha 90.00
_cell_angle_beta 90.00
_cell_angle_gamma 90.00
loop_
_space_group_symop_operation_xyz
'x,y,z'
'-x,-y,z'
'-x,y,z'
'x,-y,z'
'x,y+1/2,z+1/2'
'-x,-y+1/2,z+1/2'
'-x,y+1/2,z+1/2'
'x,-y+1/2,z+1/2'
loop_
_atom_site_label
_atom_site_type_symbol
_atom_site_fract_x
_atom_site_fract_y
_atom_site_fract_z
Ho1 Ho 0.000 0.000 0.000
Ho2 Ho 0.500 0.248 0.580
Er1 Er 0.500 0.000 0.207
Er2 Er 0.500 0.000 0.460
Er3 Er 0.500 0.130 0.825
Sc1 Sc 0.000 0.000 0.660
Sc2 Sc 0.000 0.169 0.332
# DOS at the Fermi energy: 0.811 states/eV per atom
# spin magnetization: 0.00 μB per formula unit
# total energy: -5.01 eV/atom



Record 13
# GGA-PBE In5Sn4Hg4, optimized geometry
data_In5Sn4Hg4
_space_group_name_H-M_alt 'C 1 2/m 1'
_space_group_IT_number 12
_cell_length_a 18.322
_cell_length_b 4.146
_cell_length_c 12.902
_cell_angle_alpha 90.00
_cell_angle_beta 134.39
_cell_angle_gamma 90.00
loop_
_space_group_symop_operation_xyz
'x,y,z'
'-x,-y,-z'
'-x,y,-z'
'x,-y,z'
'x+1/2,y+1/2,z'
'-x+1/2,-y+1/2,-z'
'-x+1/2,y+1/2,-z'
'x+1/2,-y+1/2,z'
loop_
_atom_site_label
_atom_site_type_symbol
_atom_site_fract_x
_atom_site_fract_y
_atom_site_fract_z
In1 In 0.000 0.000 0.000
In2 In 0.040 0.500 0.236
In3 In 0.200 0.500 0.158
Sn1 Sn 0.090 0.000 0.485
Sn2 Sn 0.101 0.500 0.689
Hg1 Hg 0.154 0.000 0.931
Hg2 Hg 0.222 0.000 0.377
# DOS at the Fermi energy: 0.274 states/eV per atom
# spin magnetization: 0.00 μB per formula unit
# total energy: -2.35 eV/atom